VASP calculation (PBE) on crystalline AlTcS2 at its relaxed geometry.

Values from the calculation:
Formation energy without anion corrections (kcal/mol of atoms): -4.56
Total magnetization (μB per formula unit): 0.0
ρ (Mg/m³): 4.55
Total DFT energy (no corrections) (eV/atom): -5.789

abc: 8.2124 8.2124 8.2124
angles: 22.15 22.15 22.15
Fractional coordinates of all 4 atoms:
S (0.8989, 0.8989, 0.8989)
S (0.1011, 0.1011, 0.1011)
Tc (0.5000, 0.5000, 0.5000)
Al (0.0000, 0.0000, 0.0000)